Entry 1:
Below is a relaxed structure of Cs2MoS4, with properties calculated at the GGA-PBE level.

Cell: 10.1997 7.3317 12.9843 Å, 90.00 90.00 90.00°
Sites, in units of the cell vectors:
Cs 0.0347 0.2500 0.1690
Cs 0.1572 0.7500 0.3980
Cs 0.3428 0.2500 0.8980
Cs 0.4653 0.7500 0.6690
Cs 0.5347 0.2500 0.3310
Cs 0.6572 0.7500 0.1020
Cs 0.8428 0.2500 0.6020
Cs 0.9653 0.7500 0.8310
Mo 0.2473 0.7500 0.0794
Mo 0.2527 0.2500 0.5794
Mo 0.7473 0.7500 0.4206
Mo 0.7527 0.2500 0.9206
S 0.0336 0.7500 0.1052
S 0.1654 0.0065 0.6503
S 0.1654 0.4935 0.6503
S 0.2074 0.2500 0.4135
S 0.2926 0.7500 0.9135
S 0.3346 0.5065 0.1503
S 0.3346 0.9935 0.1503
S 0.4664 0.2500 0.6052
S 0.5336 0.7500 0.3948
S 0.6654 0.0065 0.8497
S 0.6654 0.4935 0.8497
S 0.7074 0.2500 0.0865
S 0.7926 0.7500 0.5865
S 0.8346 0.5065 0.3497
S 0.8346 0.9935 0.3497
S 0.9664 0.2500 0.8948

Computed properties:
Size of the total moment: 0.0 μB per formula unit
Total energy: -144.39 eV for the cell shown
Volume: 34.678 Å³/atom


Entry 2:
Below is a relaxed structure of CsMo3S5, with properties calculated at the GGA-PBE level.

Cell: 5.6947 5.6947 7.4526 Å, 90.00 90.00 120.00°
Sites, in units of the cell vectors:
Cs 0.0000 0.0000 0.0000
Mo 0.0000 0.5000 0.5000
Mo 0.5000 0.0000 0.5000
Mo 0.5000 0.5000 0.5000
S 0.0000 0.0000 0.5000
S 0.3333 0.6667 0.2582
S 0.3333 0.6667 0.7418
S 0.6667 0.3333 0.2582
S 0.6667 0.3333 0.7418

Computed properties:
Size of the total moment: 3.8 μB per formula unit
Total energy: -58.59 eV for the cell shown
Volume: 23.256 Å³/atom


Entry 3:
Below is a relaxed structure of CsMoSeS2, with properties calculated at the GGA-PBE level.

Cell: 5.7509 7.6284 8.2856 Å, 111.45 101.24 105.69°
Sites, in units of the cell vectors:
Cs 0.2124 0.3386 0.1356
Cs 0.7876 0.6614 0.8644
Mo 0.2261 0.9429 0.5066
Mo 0.7739 0.0571 0.4934
Se 0.2034 0.6511 0.5861
Se 0.7966 0.3489 0.4139
S 0.2139 0.2469 0.6820
S 0.3530 0.9576 0.2674
S 0.6470 0.0424 0.7326
S 0.7861 0.7531 0.3180

Computed properties:
Size of the total moment: 0.0 μB per formula unit
Total energy: -55.16 eV for the cell shown
Volume: 30.769 Å³/atom


Entry 4:
Below is a relaxed structure of Cs2MoSe2S, with properties calculated at the GGA-PBE level.

Cell: 7.4542 8.0809 9.1711 Å, 74.41 68.27 66.08°
Sites, in units of the cell vectors:
Cs 0.0861 0.1917 0.1469
Cs 0.3368 0.5686 0.3071
Cs 0.6632 0.4314 0.6929
Cs 0.9139 0.8083 0.8531
Mo 0.3878 0.0482 0.6567
Mo 0.6122 0.9518 0.3433
Se 0.1827 0.3515 0.7205
Se 0.3832 0.8352 0.8952
Se 0.6168 0.1648 0.1048
Se 0.8173 0.6485 0.2795
S 0.2834 0.9657 0.4895
S 0.7166 0.0343 0.5105

Computed properties:
Size of the total moment: 0.0 μB per formula unit
Total energy: -58.51 eV for the cell shown
Volume: 38.709 Å³/atom


Entry 5:
Below is a relaxed structure of CsSbMo, with properties calculated at the GGA-PBE level.

Cell: 7.7789 7.7789 7.7789 Å, 90.00 90.00 90.00°
Sites, in units of the cell vectors:
Cs 0.0000 0.0000 0.0000
Cs 0.0000 0.5000 0.5000
Cs 0.5000 0.0000 0.5000
Cs 0.5000 0.5000 0.0000
Sb 0.2500 0.2500 0.2500
Sb 0.2500 0.7500 0.7500
Sb 0.7500 0.2500 0.7500
Sb 0.7500 0.7500 0.2500
Mo 0.0000 0.0000 0.5000
Mo 0.0000 0.5000 0.0000
Mo 0.5000 0.0000 0.0000
Mo 0.5000 0.5000 0.5000

Computed properties:
Size of the total moment: 4.0 μB per formula unit
Total energy: -47.83 eV for the cell shown
Volume: 39.226 Å³/atom


Entry 6:
Below is a relaxed structure of CsSb5Mo3, with properties calculated at the GGA-PBE level.

Cell: 5.6413 5.6413 9.6562 Å, 90.00 90.00 120.00°
Sites, in units of the cell vectors:
Cs 0.0000 0.0000 0.0000
Sb 0.0000 0.0000 0.5000
Sb 0.3333 0.6667 0.2586
Sb 0.3333 0.6667 0.7414
Sb 0.6667 0.3333 0.2586
Sb 0.6667 0.3333 0.7414
Mo 0.0000 0.5000 0.5000
Mo 0.5000 0.0000 0.5000
Mo 0.5000 0.5000 0.5000

Computed properties:
Size of the total moment: 0.0 μB per formula unit
Total energy: -54.27 eV for the cell shown
Volume: 29.570 Å³/atom


Entry 7:
Below is a relaxed structure of Cs6Sb3Mo, with properties calculated at the GGA-PBE level.

Cell: 11.1945 6.6208 12.9002 Å, 90.00 101.29 90.00°
Sites, in units of the cell vectors:
Cs 0.0451 0.2500 0.0809
Cs 0.0565 0.2500 0.4474
Cs 0.2519 0.7500 0.7822
Cs 0.3697 0.2500 0.9780
Cs 0.3753 0.2500 0.3221
Cs 0.4043 0.2500 0.6385
Cs 0.5957 0.7500 0.3615
Cs 0.6247 0.7500 0.6779
Cs 0.6303 0.7500 0.0220
Cs 0.7481 0.2500 0.2178
Cs 0.9435 0.7500 0.5526
Cs 0.9549 0.7500 0.9191
Sb 0.0684 0.2500 0.7667
Sb 0.2871 0.7500 0.4827
Sb 0.3112 0.7500 0.1241
Sb 0.6888 0.2500 0.8759
Sb 0.7129 0.2500 0.5173
Sb 0.9316 0.7500 0.2333
Mo 0.1761 0.7500 0.2781
Mo 0.8239 0.2500 0.7219

Computed properties:
Size of the total moment: 3.0 μB per formula unit
Total energy: -60.14 eV for the cell shown
Volume: 46.881 Å³/atom


Entry 8:
Below is a relaxed structure of CsScMo, with properties calculated at the GGA-PBE level.

Cell: 7.0680 7.0680 7.0680 Å, 90.00 90.00 90.00°
Sites, in units of the cell vectors:
Cs 0.0000 0.0000 0.0000
Cs 0.0000 0.5000 0.5000
Cs 0.5000 0.0000 0.5000
Cs 0.5000 0.5000 0.0000
Sc 0.0000 0.0000 0.5000
Sc 0.0000 0.5000 0.0000
Sc 0.5000 0.0000 0.0000
Sc 0.5000 0.5000 0.5000
Mo 0.2500 0.2500 0.2500
Mo 0.2500 0.7500 0.7500
Mo 0.7500 0.2500 0.7500
Mo 0.7500 0.7500 0.2500

Computed properties:
Size of the total moment: 2.0 μB per formula unit
Total energy: -50.08 eV for the cell shown
Volume: 29.425 Å³/atom


Entry 9:
Below is a relaxed structure of CsScMo, with properties calculated at the GGA-PBE level.

Cell: 6.7018 6.7018 6.7018 Å, 90.00 90.00 90.00°
Sites, in units of the cell vectors:
Cs 0.0000 0.0000 0.0000
Cs 0.0000 0.5000 0.5000
Cs 0.5000 0.0000 0.5000
Cs 0.5000 0.5000 0.0000
Sc 0.2500 0.2500 0.2500
Sc 0.2500 0.7500 0.7500
Sc 0.7500 0.2500 0.7500
Sc 0.7500 0.7500 0.2500
Mo 0.2500 0.2500 0.7500
Mo 0.2500 0.7500 0.2500
Mo 0.7500 0.2500 0.2500
Mo 0.7500 0.7500 0.7500

Computed properties:
Size of the total moment: 2.1 μB per formula unit
Total energy: -44.22 eV for the cell shown
Volume: 25.084 Å³/atom


Entry 10:
Below is a relaxed structure of CsSiMo, with properties calculated at the GGA-PBE level.

Cell: 6.6658 6.6658 6.6658 Å, 90.00 90.00 90.00°
Sites, in units of the cell vectors:
Cs 0.0000 0.0000 0.0000
Cs 0.0000 0.5000 0.5000
Cs 0.5000 0.0000 0.5000
Cs 0.5000 0.5000 0.0000
Si 0.0000 0.0000 0.5000
Si 0.0000 0.5000 0.0000
Si 0.5000 0.0000 0.0000
Si 0.5000 0.5000 0.5000
Mo 0.2500 0.2500 0.2500
Mo 0.2500 0.7500 0.7500
Mo 0.7500 0.2500 0.7500
Mo 0.7500 0.7500 0.2500

Computed properties:
Size of the total moment: 1.0 μB per formula unit
Total energy: -49.46 eV for the cell shown
Volume: 24.682 Å³/atom


Entry 11:
Below is a relaxed structure of CsSiMo, with properties calculated at the GGA-PBE level.

Cell: 7.5312 7.5312 7.5312 Å, 90.00 90.00 90.00°
Sites, in units of the cell vectors:
Cs 0.0000 0.0000 0.0000
Cs 0.0000 0.5000 0.5000
Cs 0.5000 0.0000 0.5000
Cs 0.5000 0.5000 0.0000
Si 0.2500 0.2500 0.2500
Si 0.2500 0.7500 0.7500
Si 0.7500 0.2500 0.7500
Si 0.7500 0.7500 0.2500
Mo 0.2500 0.2500 0.7500
Mo 0.2500 0.7500 0.2500
Mo 0.7500 0.2500 0.2500
Mo 0.7500 0.7500 0.7500

Computed properties:
Size of the total moment: 3.0 μB per formula unit
Total energy: -39.69 eV for the cell shown
Volume: 35.596 Å³/atom


Entry 12:
Below is a relaxed structure of CsSiMo, with properties calculated at the GGA-PBE level.

Cell: 7.2136 7.2136 7.2136 Å, 90.00 90.00 90.00°
Sites, in units of the cell vectors:
Cs 0.0000 0.0000 0.0000
Cs 0.0000 0.5000 0.5000
Cs 0.5000 0.0000 0.5000
Cs 0.5000 0.5000 0.0000
Si 0.2500 0.2500 0.2500
Si 0.2500 0.7500 0.7500
Si 0.7500 0.2500 0.7500
Si 0.7500 0.7500 0.2500
Mo 0.0000 0.0000 0.5000
Mo 0.0000 0.5000 0.0000
Mo 0.5000 0.0000 0.0000
Mo 0.5000 0.5000 0.5000

Computed properties:
Size of the total moment: 3.0 μB per formula unit
Total energy: -47.72 eV for the cell shown
Volume: 31.281 Å³/atom